The following is a DFT calculation (PBE) of a relaxed structure of Ac2H4F.

## Properties
- SG = No. 166
- E_tot (eV/cell) = -31.51

a b c (Å): 8.5844 8.5844 8.5844
angles (deg): 28.59 28.59 28.59
Positions (direct):
Ac1 0.0974 0.0974 0.0974
Ac2 0.9026 0.9026 0.9026
H1 0.2027 0.2027 0.2027
H2 0.4095 0.4095 0.4095
H3 0.5905 0.5905 0.5905
H4 0.7973 0.7973 0.7973
F1 0.0000 0.0000 0.0000